Density functional theory data (PBE) for a relaxed Ni2P2Pb crystal.

## Properties
The value obtained for the size of the total moment is 0.00 μB/atom. The energy of formation from the pure elements is 0.0615 eV/atom.

Lattice parameters (Å, degrees): 8.9222 8.9222 3.0374 90.00 90.00 160.66
Sites, in units of the cell vectors:
Ni1 0.1361 0.8639 0.0000
Ni2 0.8639 0.1361 0.0000
P1 0.3089 0.6911 0.5000
P2 0.6911 0.3089 0.5000
Pb1 0.5000 0.5000 0.5000


Density functional theory data (PBE) for a relaxed NiP2Pb crystal.

## Properties
The value obtained for the size of the total moment is 0.00 μB/atom. The energy of formation from the pure elements is 0.6095 eV/atom.

Lattice parameters (Å, degrees): 3.6451 3.6451 5.4653 90.00 90.00 90.00
Sites, in units of the cell vectors:
Ni1 0.0000 0.0000 0.0000
P1 0.0000 0.5000 0.5000
P2 0.5000 0.0000 0.5000
Pb1 0.5000 0.5000 0.0000


Density functional theory data (PBE) for a relaxed NiP2Pb crystal.

## Properties
The value obtained for the size of the total moment is 0.00 μB/atom. The energy of formation from the pure elements is -0.0637 eV/atom.

Lattice parameters (Å, degrees): 4.0368 4.0368 6.0108 102.87 102.87 54.37
Sites, in units of the cell vectors:
Ni1 0.0000 0.0000 0.0000
P1 0.3209 0.3209 0.0538
P2 0.4571 0.4571 0.7640
Pb1 0.6974 0.6974 0.4310